1.
The following is a PBEsol calculation of an optimized crystal structure of BeTcHg3, from the Alexandria database.

Lattice parameters (Å, degrees): 5.214 5.214 5.214 90.00 90.00 90.00
Space group Pm-3m (No. 221)
Symmetry-distinct sites (fractional):
Be 0.000 0.000 0.000 x1
Tc 0.500 0.500 0.500 x1
Hg 0.000 0.500 0.500 x3

Summary:
ΔE_f	1.3631	eV per atom
crystal system	cubic



2.
The following is a PBEsol calculation of an optimized crystal structure of TaAlOs2, from the Alexandria database.

Lattice parameters (Å, degrees): 2.760 4.251 5.095 90.00 95.65 90.00
Space group P2/m (No. 10)
Symmetry-distinct sites (fractional):
Ta 0.000 0.000 0.000 x1
Al 0.500 0.000 0.500 x1
Os 0.273 0.500 0.734 x2

Summary:
ΔE_f	-0.1194	eV per atom
crystal system	monoclinic
polymorph energy (0 for the lowest one)	0.417	eV/atom



3.
The following is a PBEsol calculation of an optimized crystal structure of HgRu2Cl, from the Alexandria database.

Lattice parameters (Å, degrees): 2.937 2.937 6.906 90.00 90.00 90.00
Space group P4/mmm (No. 123)
Symmetry-distinct sites (fractional):
Hg 0.000 0.000 0.000 x1
Ru 0.500 0.500 0.288 x2
Cl 0.000 0.000 0.500 x1

Summary:
raw formation energy	307	kJ/mol of formula units
crystal system	tetragonal
polymorph energy (0 for the lowest one)	0.568	eV/atom